No. 1
# Ho2CdGa3 GGA-PBE relaxed
data_Ho2CdGa3
_symmetry_space_group_name_H-M 'F m m m'
_symmetry_Int_Tables_number 69
_symmetry_space_group_name_Hall '-F 2 2'
_cell_length_a 7.181
_cell_length_b 9.081
_cell_length_c 15.598
_cell_angle_alpha 90.00
_cell_angle_beta 90.00
_cell_angle_gamma 90.00
loop_
_atom_site_label
_atom_site_type_symbol
_atom_site_fract_x
_atom_site_fract_y
_atom_site_fract_z
Ho1 Ho 0.248 0.000 0.000
Ho2 Ho 0.250 0.250 0.250
Cd1 Cd 0.000 0.000 0.333
Ga1 Ga 0.000 0.000 0.163
Ga2 Ga 0.000 0.245 0.082
# **Formation enthalpy at 0 K**: -0.525 eV/atom
# **Theoretical density**: 8.508 Mg/m³
# **M_tot**: 0.0000 μB/atom

=====

No. 2
# Ho3Cd2Ga2 GGA-PBE relaxed
data_Ho3Cd2Ga2
_symmetry_space_group_name_H-M 'C m m m'
_symmetry_Int_Tables_number 65
_symmetry_space_group_name_Hall '-C 2 2'
_cell_length_a 4.205
_cell_length_b 21.805
_cell_length_c 3.604
_cell_angle_alpha 90.00
_cell_angle_beta 90.00
_cell_angle_gamma 90.00
loop_
_atom_site_label
_atom_site_type_symbol
_atom_site_fract_x
_atom_site_fract_y
_atom_site_fract_z
Ho1 Ho 0.000 0.000 0.000
Ho2 Ho 0.000 0.166 0.000
Cd1 Cd 0.000 0.420 0.500
Ga1 Ga 0.000 0.283 0.500
# **Formation enthalpy at 0 K**: -0.455 eV/atom
# **Theoretical density**: 8.633 Mg/m³
# **M_tot**: 0.0000 μB/atom

=====

> The lowest theoretical density belongs to which entry?

Ho2CdGa3